A plane-wave DFT calculation with PBE was carried out for a geometry-optimized CaCo3H structure.

Output
energy above the most stable polymorph in this dataset	2123.2	meV/atom
space group	Pm-3m (221)

Unit cell a=4.681 b=4.681 c=4.681 alpha=90.00 beta=90.00 gamma=90.00
Sites, in units of the cell vectors:
Ca (0.000, 0.000, 0.000)
Co (0.000, 0.000, 0.500)
Co (0.000, 0.500, 0.000)
Co (0.500, 0.000, 0.000)
H (0.500, 0.500, 0.500)

A plane-wave DFT calculation with PBE was carried out for a geometry-optimized BaGaCuF6 structure.

Output
energy relative to the elements, uncorrected	-2.678	eV/atom
space group	C2 (5)

Unit cell a=5.704 b=5.704 c=5.336 alpha=91.47 beta=91.47 gamma=121.30
Sites, in units of the cell vectors:
Ba (0.000, 0.000, 0.000)
Ga (0.324, 0.676, 0.500)
Cu (0.666, 0.334, 0.500)
F (0.074, 0.454, 0.231)
F (0.281, 0.369, 0.672)
F (0.362, 0.003, 0.334)
F (0.546, 0.926, 0.769)
F (0.631, 0.719, 0.328)
F (0.997, 0.638, 0.666)

Number 1: total magnetic moment 4.0 μB/f.u., VASP energy -2.85 eV/atom. Number 2: total magnetic moment 0.1 μB/f.u., VASP energy -4.93 eV/atom.